[1]
An optimized crystal structure of MnS2. Source: the Alexandria database, functional PBE.

Space-group type: Fmm2
Total magnetization, μB/cell: 1.00
Fermi-level density of states, states/eV per cell: 1.843
Energy relative to the elements, uncorrected, kJ per mole of atoms: -42.9

Cell: 3.083 3.083 6.736 Å, 96.58 96.58 119.95°
Last column: magnetic moment on the atom in μB.
Positions (direct):
S 0.857 0.360 0.217  -0.07
Mn 0.082 0.918 0.000  1.18
S 0.640 0.143 0.783  -0.07

[2]
An optimized crystal structure of SmTm5Cu6. Source: the Alexandria database, functional PBE.

Space-group type: P2/m
Total magnetization, μB/cell: 0.00
Formation energy, eV per atom: -0.273
Fermi-level density of states, states/eV per cell: 5.218

Cell: 4.876 6.828 7.731 Å, 90.00 71.50 90.00°
Positions (direct):
Cu 0.829 0.253 0.340
Cu 0.829 0.747 0.340
Cu 0.500 0.262 0.000
Tm 0.668 0.000 0.664
Sm 0.000 0.000 0.000
Cu 0.500 0.738 0.000
Cu 0.171 0.253 0.660
Cu 0.171 0.747 0.660
Tm 0.334 0.500 0.332
Tm 0.332 0.000 0.336
Tm 0.000 0.500 0.000
Tm 0.666 0.500 0.668

Question: Among the records above, which one has the lowest Fermi-level density of states?
Answer: MnS2